[1]
Density functional theory data (GGA-PBEsol) for an optimized crystal structure of BePt2N.

Computed properties:
ΔE_f (raw) = 0.43 eV/atom
uncorrected energy = -6.1785 eV per atom

a b c (Å): 4.425 4.425 6.460
angles (deg): 110.03 110.03 90.00
Sites, in units of the cell vectors:
1 Be 0.750 0.250 0.500
2 Be 0.500 0.500 0.000
3 Pt 0.326 0.875 0.250
4 Pt 0.924 0.375 0.250
5 Pt 0.125 0.076 0.750
6 Pt 0.625 0.674 0.750
7 N 0.250 0.750 0.500
8 N 0.000 0.000 0.000

[2]
Density functional theory data (GGA-PBEsol) for an optimized crystal structure of BeRhN2.

Computed properties:
ΔE_f (raw) = -0.08 eV/atom
uncorrected energy = -7.3807 eV per atom

a b c (Å): 4.311 4.311 5.078
angles (deg): 115.11 115.11 90.00
Sites, in units of the cell vectors:
1 Be 0.750 0.250 0.500
2 Be 0.500 0.500 0.000
3 Rh 0.250 0.750 0.500
4 Rh 0.000 0.000 0.000
5 N 0.416 0.875 0.250
6 N 0.834 0.375 0.250
7 N 0.125 0.166 0.750
8 N 0.625 0.584 0.750

[3]
Density functional theory data (GGA-PBEsol) for an optimized crystal structure of BeRhN3.

Computed properties:
ΔE_f (raw) = 1.72 eV/atom
uncorrected energy = -5.8252 eV per atom

a b c (Å): 3.791 3.791 3.791
angles (deg): 90.00 90.00 90.00
Sites, in units of the cell vectors:
1 Be 0.500 0.500 0.500
2 Rh 0.000 0.000 0.000
3 N 0.000 0.500 0.000
4 N 0.000 0.000 0.500
5 N 0.500 0.000 0.000

[4]
Density functional theory data (GGA-PBEsol) for an optimized crystal structure of Be3RhN.

Computed properties:
ΔE_f (raw) = 1.43 eV/atom
uncorrected energy = -4.2992 eV per atom

a b c (Å): 4.040 4.040 4.040
angles (deg): 90.00 90.00 90.00
Sites, in units of the cell vectors:
1 Be 0.000 0.500 0.000
2 Be 0.000 0.000 0.500
3 Be 0.500 0.000 0.000
4 Rh 0.000 0.000 0.000
5 N 0.500 0.500 0.500